one) The following is a PBE calculation of crystalline AgRuSCl2 at its relaxed geometry, from Alexandria via LeMat-Bulk.

Geometry as CIF:
```
data_AgRuSCl2
_symmetry_space_group_name_H-M 'P 4/m m m'
_symmetry_Int_Tables_number 123
_symmetry_space_group_name_Hall '-P 4 2'
_cell_length_a 5.0418
_cell_length_b 5.0418
_cell_length_c 4.3571
_cell_angle_alpha 90.00
_cell_angle_beta 90.00
_cell_angle_gamma 90.00
loop_
_atom_site_label
_atom_site_type_symbol
_atom_site_fract_x
_atom_site_fract_y
_atom_site_fract_z
_atom_site_occupancy
Ag1 Ag 0.0000 0.0000 0.0000 1
Ru1 Ru 0.5000 0.5000 0.5000 1
S1 S 0.5000 0.5000 0.0000 1
Cl1 Cl 0.0000 0.5000 0.5000 1
```


two) The following is a PBE calculation of crystalline AgRuSCl2 at its relaxed geometry, from Alexandria via LeMat-Bulk.

Geometry as CIF:
```
data_AgRuSCl2
_symmetry_space_group_name_H-M 'P 4/m m m'
_symmetry_Int_Tables_number 123
_symmetry_space_group_name_Hall '-P 4 2'
_cell_length_a 4.8804
_cell_length_b 4.8804
_cell_length_c 5.0207
_cell_angle_alpha 90.00
_cell_angle_beta 90.00
_cell_angle_gamma 90.00
loop_
_atom_site_label
_atom_site_type_symbol
_atom_site_fract_x
_atom_site_fract_y
_atom_site_fract_z
_atom_site_occupancy
Ag1 Ag 0.0000 0.0000 0.0000 1
Ru1 Ru 0.5000 0.5000 0.5000 1
S1 S 0.0000 0.0000 0.5000 1
Cl1 Cl 0.0000 0.5000 0.0000 1
```


Tell me which of them is the least stable. Sure, it is two).


one) The following is a PBE calculation of crystalline AgS2Cl at its relaxed geometry, from Alexandria via LeMat-Bulk.

Geometry as CIF:
```
data_AgS2Cl
_symmetry_space_group_name_H-M 'I -4 2 d'
_symmetry_Int_Tables_number 122
_symmetry_space_group_name_Hall 'I -4 2bw'
_cell_length_a 5.2264
_cell_length_b 5.2264
_cell_length_c 13.9284
_cell_angle_alpha 90.00
_cell_angle_beta 90.00
_cell_angle_gamma 90.00
loop_
_atom_site_label
_atom_site_type_symbol
_atom_site_fract_x
_atom_site_fract_y
_atom_site_fract_z
_atom_site_occupancy
Ag1 Ag 0.0000 0.0000 0.0000 1
S1 S 0.2490 0.2500 0.6250 1
Cl1 Cl 0.0000 0.0000 0.5000 1
```


two) The following is a PBE calculation of crystalline AgS2Cl at its relaxed geometry, from Alexandria via LeMat-Bulk.

Geometry as CIF:
```
data_AgS2Cl
_symmetry_space_group_name_H-M 'R -3 m'
_symmetry_Int_Tables_number 166
_symmetry_space_group_name_Hall '-R 3 2"'
_cell_length_a 2.8347
_cell_length_b 2.8347
_cell_length_c 35.1039
_cell_angle_alpha 90.00
_cell_angle_beta 90.00
_cell_angle_gamma 120.00
loop_
_atom_site_label
_atom_site_type_symbol
_atom_site_fract_x
_atom_site_fract_y
_atom_site_fract_z
_atom_site_occupancy
Ag1 Ag 0.0000 0.0000 0.0000 1
S1 S 0.0000 0.0000 0.0687 1
Cl1 Cl 0.0000 0.0000 0.5000 1
```


Tell me which of them is the least stable. Sure, it is one).


one) The following is a PBE calculation of crystalline AgS2Cl at its relaxed geometry, from Alexandria via LeMat-Bulk.

Geometry as CIF:
```
data_AgS2Cl
_symmetry_space_group_name_H-M 'P 1 21/m 1'
_symmetry_Int_Tables_number 11
_symmetry_space_group_name_Hall '-P 2yb'
_cell_length_a 3.8159
_cell_length_b 9.6492
_cell_length_c 5.5549
_cell_angle_alpha 90.00
_cell_angle_beta 90.83
_cell_angle_gamma 90.00
loop_
_atom_site_label
_atom_site_type_symbol
_atom_site_fract_x
_atom_site_fract_y
_atom_site_fract_z
_atom_site_occupancy
Ag1 Ag 0.2230 0.2500 0.2522 1
S1 S 0.1965 0.0566 0.5575 1
Cl1 Cl 0.2910 0.7500 0.0495 1
```


two) The following is a PBE calculation of crystalline AgS2Cl at its relaxed geometry, from Alexandria via LeMat-Bulk.

Geometry as CIF:
```
data_AgS2Cl
_symmetry_space_group_name_H-M 'F m -3 m'
_symmetry_Int_Tables_number 225
_symmetry_space_group_name_Hall '-F 4 2 3'
_cell_length_a 6.5996
_cell_length_b 6.5996
_cell_length_c 6.5996
_cell_angle_alpha 90.00
_cell_angle_beta 90.00
_cell_angle_gamma 90.00
loop_
_atom_site_label
_atom_site_type_symbol
_atom_site_fract_x
_atom_site_fract_y
_atom_site_fract_z
_atom_site_occupancy
Ag1 Ag 0.0000 0.0000 0.0000 1
S1 S 0.2500 0.2500 0.2500 1
Cl1 Cl 0.0000 0.0000 0.5000 1
```


Tell me which of them is the least stable. Sure, it is two).


one) The following is a PBE calculation of crystalline AgS2Cl2 at its relaxed geometry, from Alexandria via LeMat-Bulk.

Geometry as CIF:
```
data_AgS2Cl2
_symmetry_space_group_name_H-M 'P 4/m b m'
_symmetry_Int_Tables_number 127
_symmetry_space_group_name_Hall '-P 4 2ab'
_cell_length_a 7.2641
_cell_length_b 7.2641
_cell_length_c 4.4670
_cell_angle_alpha 90.00
_cell_angle_beta 90.00
_cell_angle_gamma 90.00
loop_
_atom_site_label
_atom_site_type_symbol
_atom_site_fract_x
_atom_site_fract_y
_atom_site_fract_z
_atom_site_occupancy
Ag1 Ag 0.0000 0.0000 0.0000 1
S1 S 0.2320 0.2680 0.0000 1
Cl1 Cl 0.1671 0.3329 0.5000 1
```


two) The following is a PBE calculation of crystalline AgS2Cl2 at its relaxed geometry, from Alexandria via LeMat-Bulk.

Geometry as CIF:
```
data_AgS2Cl2
_symmetry_space_group_name_H-M 'I 4/m m m'
_symmetry_Int_Tables_number 139
_symmetry_space_group_name_Hall '-I 4 2'
_cell_length_a 5.5699
_cell_length_b 5.5699
_cell_length_c 7.7204
_cell_angle_alpha 90.00
_cell_angle_beta 90.00
_cell_angle_gamma 90.00
loop_
_atom_site_label
_atom_site_type_symbol
_atom_site_fract_x
_atom_site_fract_y
_atom_site_fract_z
_atom_site_occupancy
Ag1 Ag 0.0000 0.0000 0.0000 1
S1 S 0.0000 0.0000 0.3799 1
Cl1 Cl 0.0000 0.5000 0.2500 1
```


Tell me which of them is the least stable. Sure, it is two).


one) The following is a PBE calculation of crystalline Ag6S2Cl at its relaxed geometry, from Alexandria via LeMat-Bulk.

Geometry as CIF:
```
data_Ag6S2Cl
_symmetry_space_group_name_H-M 'C 1 2/m 1'
_symmetry_Int_Tables_number 12
_symmetry_space_group_name_Hall '-C 2y'
_cell_length_a 12.4752
_cell_length_b 4.6589
_cell_length_c 7.8956
_cell_angle_alpha 90.00
_cell_angle_beta 124.99
_cell_angle_gamma 90.00
loop_
_atom_site_label
_atom_site_type_symbol
_atom_site_fract_x
_atom_site_fract_y
_atom_site_fract_z
_atom_site_occupancy
Ag1 Ag 0.0410 0.0000 0.2142 1
Ag2 Ag 0.1483 0.5000 0.1106 1
Ag3 Ag 0.1746 0.5000 0.4992 1
S1 S 0.2120 0.0000 0.1110 1
Cl1 Cl 0.0000 0.0000 0.5000 1
```


two) The following is a PBE calculation of crystalline Ag6S2Cl at its relaxed geometry, from Alexandria via LeMat-Bulk.

Geometry as CIF:
```
data_Ag6S2Cl
_symmetry_space_group_name_H-M 'C 1 2/m 1'
_symmetry_Int_Tables_number 12
_symmetry_space_group_name_Hall '-C 2y'
_cell_length_a 13.3112
_cell_length_b 4.1814
_cell_length_c 8.3214
_cell_angle_alpha 90.00
_cell_angle_beta 114.49
_cell_angle_gamma 90.00
loop_
_atom_site_label
_atom_site_type_symbol
_atom_site_fract_x
_atom_site_fract_y
_atom_site_fract_z
_atom_site_occupancy
Ag1 Ag 0.0537 0.0000 0.3647 1
Ag2 Ag 0.1357 0.5000 0.1877 1
Ag3 Ag 0.2109 0.5000 0.5847 1
S1 S 0.1553 0.0000 0.7049 1
Cl1 Cl 0.0000 0.0000 0.0000 1
```


Tell me which of them is the least stable. Sure, it is two).


one) The following is a PBE calculation of crystalline Ag4SCl2 at its relaxed geometry, from Alexandria via LeMat-Bulk.

Geometry as CIF:
```
data_Ag4SCl2
_symmetry_space_group_name_H-M 'P 1 21/m 1'
_symmetry_Int_Tables_number 11
_symmetry_space_group_name_Hall '-P 2yb'
_cell_length_a 5.9207
_cell_length_b 6.7984
_cell_length_c 9.5657
_cell_angle_alpha 90.00
_cell_angle_beta 106.09
_cell_angle_gamma 90.00
loop_
_atom_site_label
_atom_site_type_symbol
_atom_site_fract_x
_atom_site_fract_y
_atom_site_fract_z
_atom_site_occupancy
Ag1 Ag 0.0242 0.2500 0.1437 1
Ag2 Ag 0.1658 0.5100 0.3996 1
Ag3 Ag 0.4693 0.7500 0.8553 1
S1 S 0.1336 0.7500 0.6475 1
Cl1 Cl 0.1871 0.2500 0.9379 1
Cl2 Cl 0.4633 0.7500 0.3665 1
```


two) The following is a PBE calculation of crystalline Ag4SCl2 at its relaxed geometry, from Alexandria via LeMat-Bulk.

Geometry as CIF:
```
data_Ag4SCl2
_symmetry_space_group_name_H-M 'P 1 2/m 1'
_symmetry_Int_Tables_number 10
_symmetry_space_group_name_Hall '-P 2y'
_cell_length_a 6.6525
_cell_length_b 4.1943
_cell_length_c 6.8069
_cell_angle_alpha 90.00
_cell_angle_beta 117.87
_cell_angle_gamma 90.00
loop_
_atom_site_label
_atom_site_type_symbol
_atom_site_fract_x
_atom_site_fract_y
_atom_site_fract_z
_atom_site_occupancy
Ag1 Ag 0.0703 0.0000 0.2448 1
Ag2 Ag 0.4203 0.5000 0.1861 1
S1 S 0.0000 0.5000 0.0000 1
Cl1 Cl 0.3188 0.0000 0.6758 1
```


Tell me which of them is the least stable. Sure, it is two).